[1]
VASP calculation (PBE) on a relaxed structure of HoCuPt.

Summary:
Energy of formation in meV per atom: -850
Magnetic moment in μB/atom: 0.000
Raw total energy in eV/atom: -5.755
Energy relative to the lowest polymorph listed for this composition in meV per atom: 0

abc: 4.2579 9.7162 5.4314
angles: 90.00 90.00 90.00
Space group Cmcm (No. 63)
Unique sites:
Ho 0.0000 0.2047 0.2500 (multiplicity 4)
Cu 0.0000 0.5000 0.0000 (multiplicity 4)
Pt 0.0000 0.0964 0.7500 (multiplicity 4)


[2]
VASP calculation (PBE) on a relaxed structure of Mg2HgGe2.

Summary:
Energy of formation in meV per atom: -42
Magnetic moment in μB/atom: 0.000
Raw total energy in eV/atom: -2.587
Energy relative to the lowest polymorph listed for this composition in meV per atom: 0

abc: 8.0598 8.0598 3.2033
angles: 90.00 90.00 90.00
Space group P4/mbm (No. 127)
Unique sites:
Mg 0.1824 0.3176 0.0000 (multiplicity 4)
Hg 0.0000 0.0000 0.5000 (multiplicity 2)
Ge 0.1146 0.6146 0.5000 (multiplicity 4)


[3]
VASP calculation (PBE) on a relaxed structure of LiNdHoPb.

Summary:
Energy of formation in meV per atom: -286
Magnetic moment in μB/atom: 0.000
Raw total energy in eV/atom: -4.028

abc: 7.5772 7.5772 7.5772
angles: 90.00 90.00 90.00
Space group F-43m (No. 216)
Unique sites:
Li 0.0000 0.0000 0.0000 (multiplicity 4)
Nd 0.2500 0.2500 0.7500 (multiplicity 4)
Ho 0.2500 0.2500 0.2500 (multiplicity 4)
Pb 0.0000 0.0000 0.5000 (multiplicity 4)


[4]
VASP calculation (PBE) on a relaxed structure of MgSi4Se.

Summary:
Uncorrected formation energy in eV per atom: 0.33
Magnetic moment in μB/atom: 0.000
Raw total energy in eV/atom: -4.132

abc: 7.3937 7.3937 7.3937
angles: 90.00 90.00 90.00
Space group F-43m (No. 216)
Unique sites:
Mg 0.0000 0.0000 0.0000 (multiplicity 4)
Si 0.1255 0.1255 0.3745 (multiplicity 16)
Se 0.2500 0.2500 0.7500 (multiplicity 4)


[5]
VASP calculation (PBE) on a relaxed structure of FeCuPdPt.

Summary:
Energy of formation in meV per atom: -187
Magnetic moment in μB/atom: 0.988
Raw total energy in eV/atom: -6.135
Energy relative to the lowest polymorph listed for this composition in meV per atom: 0

abc: 3.9560 3.9560 7.1273
angles: 90.00 90.00 90.00
Space group I-4m2 (No. 119)
Unique sites:
Fe 0.0000 0.0000 0.0000 (multiplicity 2)
Cu 0.0000 0.0000 0.5000 (multiplicity 2)
Pd 0.0000 0.5000 0.2500 (multiplicity 2)
Pt 0.0000 0.5000 0.7500 (multiplicity 2)


[6]
VASP calculation (PBE) on a relaxed structure of Na2CaCu2.

Summary:
Energy of formation in meV per atom: 195
Magnetic moment in μB/atom: 0.000
Raw total energy in eV/atom: -2.371
Energy relative to the lowest polymorph listed for this composition in meV per atom: 73

abc: 7.4354 7.4354 4.5068
angles: 90.00 90.00 90.00
Space group P4/mbm (No. 127)
Unique sites:
Na 0.1631 0.3369 0.0000 (multiplicity 4)
Ca 0.0000 0.0000 0.5000 (multiplicity 2)
Cu 0.1146 0.6146 0.5000 (multiplicity 4)


[7]
VASP calculation (PBE) on a relaxed structure of Pm4Dy2YTm2.

Summary:
Energy of formation in meV per atom: 21
Magnetic moment in μB/atom: 0.000
Raw total energy in eV/atom: -4.825

abc: 15.2168 5.0606 8.0096
angles: 90.00 108.42 90.00
Space group C2/m (No. 12)
Unique sites:
Pm 0.0545 0.0000 0.3319 (multiplicity 4)
Pm 0.2230 0.5000 0.3319 (multiplicity 4)
Dy 0.1116 0.5000 0.6687 (multiplicity 4)
Y 0.0000 0.5000 0.0000 (multiplicity 2)
Tm 0.1677 0.0000 0.9997 (multiplicity 4)


[8]
VASP calculation (PBE) on a relaxed structure of Na2InF5.

Summary:
Uncorrected formation energy in eV per atom: -2.67
Magnetic moment in μB/atom: 0.014
Raw total energy in eV/atom: -4.514

abc: 4.2416 11.4765 11.1051
angles: 90.00 90.00 90.00
Space group Cmcm (No. 63)
Unique sites:
Na 0.0000 0.1404 0.0634 (multiplicity 8)
In 0.0000 0.1741 0.7500 (multiplicity 4)
F 0.0000 0.0459 0.6201 (multiplicity 8)
F 0.0000 0.2857 0.2500 (multiplicity 4)
F 0.0000 0.2899 0.6022 (multiplicity 8)


[9]
VASP calculation (PBE) on a relaxed structure of PmHoZnFe.

Summary:
Energy of formation in meV per atom: -40
Magnetic moment in μB/atom: 0.320
Raw total energy in eV/atom: -4.806

abc: 7.0215 7.0215 7.0215
angles: 90.00 90.00 90.00
Space group F-43m (No. 216)
Unique sites:
Pm 0.0000 0.0000 0.0000 (multiplicity 4)
Ho 0.0000 0.0000 0.5000 (multiplicity 4)
Zn 0.2500 0.2500 0.7500 (multiplicity 4)
Fe 0.2500 0.2500 0.2500 (multiplicity 4)


[10]
VASP calculation (PBE) on a relaxed structure of MnTcOs2.

Summary:
Energy of formation in meV per atom: 87
Magnetic moment in μB/atom: 0.333
Raw total energy in eV/atom: -10.411
Energy relative to the lowest polymorph listed for this composition in meV per atom: 24

abc: 4.6623 2.7029 4.6747
angles: 90.00 109.71 90.00
Space group P2/m (No. 10)
Unique sites:
Mn 0.0000 0.0000 0.0000 (multiplicity 1)
Tc 0.0000 0.5000 0.5000 (multiplicity 1)
Os 0.5000 0.0000 0.5000 (multiplicity 1)
Os 0.5000 0.5000 0.0000 (multiplicity 1)


[11]
VASP calculation (PBE) on a relaxed structure of VTc2Sb.

Summary:
Uncorrected formation energy in eV per atom: 0.54
Magnetic moment in μB/atom: 0.218
Raw total energy in eV/atom: -7.954

abc: 4.0053 4.0053 17.8414
angles: 90.00 90.00 90.00
Space group I-42d (No. 122)
Unique sites:
V 0.0000 0.0000 0.0000 (multiplicity 4)
Tc 0.1903 0.2500 0.1250 (multiplicity 8)
Sb 0.0000 0.0000 0.5000 (multiplicity 4)


[12]
VASP calculation (PBE) on a relaxed structure of Ho2ZrC.

Summary:
Energy of formation in meV per atom: 75
Magnetic moment in μB/atom: 0.000
Raw total energy in eV/atom: -6.657

abc: 3.4083 3.4083 27.8737
angles: 90.00 90.00 120.00
Space group R-3m (No. 166, hexagonal axes)
Unique sites:
Ho 0.0000 0.0000 0.1179 (multiplicity 6)
Zr 0.0000 0.0000 0.0000 (multiplicity 3)
C 0.0000 0.0000 0.5000 (multiplicity 3)